K6Co2O7 after structural relaxation. Source: Alexandria via LeMat-Bulk, functional PBE with a Hubbard U.

Calculated total energy = -4.701 eV per atom
Theoretical density = 2713 kg/m3
M_tot = 9.996 μB per formula unit

a = 9.193 Å, b = 6.636 Å, c = 11.225 Å
α = 56.14°, β = 90.00°, γ = 90.00°
Site moments in Bohr magnetons follow the coordinates.
Atoms (fractional coordinates):
O (0.699, 0.499, 0.928)  0.42
O (0.596, 0.757, 0.191)  0.44
O (0.500, 0.500, 0.500)  0.39
O (0.833, 0.965, 0.858)  0.42
O (0.096, 0.243, 0.309)  0.44
O (0.333, 0.035, 0.642)  0.42
O (0.667, 0.965, 0.358)  0.42
O (0.801, 0.499, 0.428)  0.42
O (0.000, 0.500, 0.000)  0.39
O (0.167, 0.035, 0.142)  0.42
O (0.199, 0.501, 0.572)  0.42
O (0.404, 0.243, 0.809)  0.44
O (0.904, 0.757, 0.691)  0.44
O (0.301, 0.501, 0.072)  0.42
K (0.349, 0.932, 0.433)  0.00
K (0.849, 0.068, 0.067)  0.00
K (0.473, 0.197, 0.057)  0.01
K (0.027, 0.197, 0.557)  0.01
K (0.151, 0.932, 0.933)  0.00
K (0.202, 0.578, 0.787)  0.00
K (0.798, 0.422, 0.213)  0.00
K (0.702, 0.422, 0.713)  0.00
K (0.527, 0.803, 0.943)  0.01
K (0.651, 0.068, 0.567)  0.00
K (0.298, 0.578, 0.287)  0.00
K (0.973, 0.803, 0.443)  0.01
Co (0.357, 0.310, 0.636)  3.13
Co (0.857, 0.690, 0.864)  3.13
Co (0.143, 0.310, 0.136)  3.13
Co (0.643, 0.690, 0.364)  3.13